VASP calculation (PBE) on an optimized crystal structure of CuOs2Rh.

Cell lengths 2.8177, 4.4486, 8.8209 Å; angles 90.00, 90.00, 90.00 degrees
Space group Imm2 (No. 44)
Inequivalent atoms, fractional coordinates:
Cu 0.0000 0.0000 0.0000 x2
Os 0.0000 0.0000 0.4901 x2
Os 0.0000 0.5000 0.7369 x2
Rh 0.0000 0.5000 0.2645 x2

Summary:
excess energy over the best structure of this formula in the dataset = 257 meV per atom